{"formula": "LiPmMg2Ga4", "functional": "PBE", "state": "relaxed", "spacegroup": "No. 166", "vol_a3_per_atom": 19.973, "ef_ev_per_atom": -0.3233, "dos_at_fermi_per_ev_atom": 0.27, "magnetic_moment_mub_per_atom": 0.000, "lattice": [[2.3324, 1.3466, 8.4790], [-2.3324, 1.3466, 8.4790], [0.0000, -2.6932, 8.4790]], "species": ["Li", "Pm", "Mg", "Mg", "Ga", "Ga", "Ga", "Ga"], "fractional_positions": [[0.0000, 0.0000, 0.0000], [0.5000, 0.5000, 0.5000], [0.2566, 0.2566, 0.2566], [0.7434, 0.7434, 0.7434], [0.1081, 0.1081, 0.1081], [0.3713, 0.3713, 0.3713], [0.6287, 0.6287, 0.6287], [0.8919, 0.8919, 0.8919]]}